## Ta2FePt (PBE-GGA)

Data for a relaxed Ta2FePt crystal.

Values from the calculation:
N(E_F)	7.36	states/eV per cell
distance to the lowest polymorph of the same formula	5.4	kJ per mole of atoms
M_tot	0.00	μB/cell
electronic total energy	-9.86	eV per atom
ΔH_f (0 K)	-0.308	eV per atom
space group	Immm, No. 71

a b c (Å): 3.8702 4.1530 7.7055
angles (deg): 90.00 90.00 90.00
With the nearest neighbours (Å) after each atom.
Atoms (fractional coordinates):
Ta 0.0000 0.0000 0.2421  4 Fe 2.69-2.87, 4 Pt 2.77-2.79, 4 Ta 2.84
Ta 0.0000 0.0000 0.7579  4 Fe 2.69-2.87, 4 Pt 2.77-2.79, 4 Ta 2.84
Ta 0.5000 0.5000 0.2579  4 Fe 2.69-2.87, 4 Pt 2.77-2.79, 4 Ta 2.84
Ta 0.5000 0.5000 0.7421  4 Fe 2.69-2.87, 4 Pt 2.77-2.79, 4 Ta 2.84
Fe 0.0000 0.5000 0.5000  8 Ta 2.69-2.87, 4 Pt 2.84
Fe 0.5000 0.0000 0.0000  8 Ta 2.69-2.87, 4 Pt 2.84
Pt 0.0000 0.5000 0.0000  8 Ta 2.77-2.79, 4 Fe 2.84
Pt 0.5000 0.0000 0.5000  8 Ta 2.77-2.79, 4 Fe 2.84